[1]
## Be2Ag2Mo (GGA-PBE)

Data for Be2Ag2Mo after structural relaxation.

## Properties
The energy of formation from the pure elements comes out at 0.338 eV/atom. Its offset from the most stable computed form is 0.0 kJ per mole of atoms.

Lattice parameters (Å, degrees): 6.9821 6.9821 2.7450 90.00 90.00 90.00
With the nearest neighbours (Å) after each atom.
Element x y z (fractional)
Be (0.1489, 0.3511, 0.0000)  6 Ag 2.40-2.51, 2 Mo 2.66
Be (0.3511, 0.8511, 0.0000)  6 Ag 2.40-2.51, 2 Mo 2.66
Be (0.6489, 0.1489, 0.0000)  6 Ag 2.40-2.51, 2 Mo 2.66
Be (0.8511, 0.6489, 0.0000)  6 Ag 2.40-2.51, 2 Mo 2.66
Ag (0.1514, 0.6514, 0.5000)  6 Be 2.40-2.51
Ag (0.3486, 0.1514, 0.5000)  6 Be 2.40-2.51
Ag (0.6514, 0.8486, 0.5000)  6 Be 2.40-2.51
Ag (0.8486, 0.3486, 0.5000)  6 Be 2.40-2.51
Mo (0.0000, 0.0000, 0.0000)  4 Be 2.66, 2 Mo 2.74
Mo (0.5000, 0.5000, 0.0000)  4 Be 2.66, 2 Mo 2.74

---

[2]
## Be3AgMo (GGA-PBE)

Data for Be3AgMo after structural relaxation.

## Properties
The energy of formation from the pure elements comes out at 1.098 eV/atom.

Lattice parameters (Å, degrees): 4.1145 4.1145 4.1145 90.00 90.00 90.00
With the nearest neighbours (Å) after each atom.
Element x y z (fractional)
Be (0.0000, 0.0000, 0.5000)  2 Ag 2.06
Be (0.0000, 0.5000, 0.0000)  2 Ag 2.06
Be (0.5000, 0.0000, 0.0000)  2 Ag 2.06
Ag (0.0000, 0.0000, 0.0000)  6 Be 2.06
Mo (0.5000, 0.5000, 0.5000)  12 Be 2.91

---

[3]
## BeAgMo3 (GGA-PBE)

Data for BeAgMo3 after structural relaxation.

## Properties
The energy of formation from the pure elements comes out at 0.818 eV/atom. Its offset from the most stable computed form is 0.0 kJ per mole of atoms.

Lattice parameters (Å, degrees): 4.2568 4.2568 4.2568 90.00 90.00 90.00
With the nearest neighbours (Å) after each atom.
Element x y z (fractional)
Be (0.0000, 0.0000, 0.0000)  6 Mo 2.13
Ag (0.5000, 0.5000, 0.5000)  12 Mo 3.01
Mo (0.0000, 0.0000, 0.5000)  2 Be 2.13
Mo (0.0000, 0.5000, 0.0000)  2 Be 2.13
Mo (0.5000, 0.0000, 0.0000)  2 Be 2.13

---

[4]
## BeAgMo2P (GGA-PBE)

Data for BeAgMo2P after structural relaxation.

## Properties
The energy of formation from the pure elements comes out at 0.927 eV/atom. Its offset from the most stable computed form is 0.0 kJ per mole of atoms.

Lattice parameters (Å, degrees): 4.4609 4.4609 4.5572 90.00 90.00 90.00
With the nearest neighbours (Å) after each atom.
Element x y z (fractional)
Be (0.0000, 0.0000, 0.0000)  4 Ag 3.15, 8 Mo 3.19
Ag (0.5000, 0.5000, 0.0000)  2 P 2.28
Mo (0.0000, 0.5000, 0.5000)  2 P 2.23
Mo (0.5000, 0.0000, 0.5000)  2 P 2.23
P (0.5000, 0.5000, 0.5000)  4 Mo 2.23, 2 Ag 2.28

---

[5]
## BeAgSb2Mo (GGA-PBE)

Data for BeAgSb2Mo after structural relaxation.

## Properties
The formation energy without anion corrections is 1682.6 meV/atom.

Lattice parameters (Å, degrees): 5.1942 5.1942 5.2753 90.00 90.00 90.00
With the nearest neighbours (Å) after each atom.
Element x y z (fractional)
Be (0.0000, 0.0000, 0.0000)  4 Mo 3.67, 8 Sb 3.70
Ag (0.5000, 0.5000, 0.5000)  4 Sb 2.60, 2 Mo 2.64
Sb (0.0000, 0.5000, 0.5000)  2 Ag 2.60
Sb (0.5000, 0.0000, 0.5000)  2 Ag 2.60
Mo (0.5000, 0.5000, 0.0000)  2 Ag 2.64

---

[6]
## Ta2BeAgMo (GGA-PBE)

Data for Ta2BeAgMo after structural relaxation.

## Properties
The energy of formation from the pure elements comes out at 0.716 eV/atom.

Lattice parameters (Å, degrees): 4.4534 4.4534 4.1232 90.00 90.00 90.00
With the nearest neighbours (Å) after each atom.
Element x y z (fractional)
Ta (0.0000, 0.5000, 0.0000)  2 Be 2.23
Ta (0.5000, 0.0000, 0.0000)  2 Be 2.23
Be (0.0000, 0.0000, 0.0000)  2 Ag 2.06, 4 Ta 2.23
Ag (0.0000, 0.0000, 0.5000)  2 Be 2.06
Mo (0.5000, 0.5000, 0.5000)  8 Ta 3.03, 4 Ag 3.15

---

[7]
## Be2TcAgMo (GGA-PBE)

Data for Be2TcAgMo after structural relaxation.

## Properties
The energy of formation from the pure elements comes out at 1.528 eV/atom.

Lattice parameters (Å, degrees): 4.1179 4.1179 4.8617 90.00 90.00 90.00
With the nearest neighbours (Å) after each atom.
Element x y z (fractional)
Be (0.0000, 0.5000, 0.0000)  2 Tc 2.06
Be (0.5000, 0.0000, 0.0000)  2 Tc 2.06
Tc (0.0000, 0.0000, 0.0000)  4 Be 2.06
Ag (0.0000, 0.0000, 0.5000)  2 Tc 2.43
Mo (0.5000, 0.5000, 0.5000)  4 Ag 2.91, 8 Be 3.19

---

[8]
## BeAg2N (GGA-PBE)

Data for BeAg2N after structural relaxation.

## Properties
The formation energy without anion corrections is 1131.0 meV/atom. Its offset from the most stable computed form is 8.7 kJ per mole of atoms.

Lattice parameters (Å, degrees): 8.1209 8.1209 8.1209 152.58 152.58 39.16
With the nearest neighbours (Å) after each atom.
Element x y z (fractional)
Be (0.0000, 0.0000, 0.0000)  4 Ag 2.36
Be (0.7500, 0.2500, 0.5000)  4 Ag 2.36
Ag (0.1347, 0.6250, 0.0097)  2 N 2.33, 2 Be 2.36
Ag (0.3750, 0.3847, 0.5097)  2 N 2.33, 2 Be 2.36
Ag (0.6153, 0.1250, 0.9903)  2 N 2.33, 2 Be 2.36
Ag (0.8750, 0.8653, 0.4903)  2 N 2.33, 2 Be 2.36
N (0.2500, 0.7500, 0.5000)  4 Ag 2.33
N (0.5000, 0.5000, 0.0000)  4 Ag 2.33

---

[9]
## BeAg2N (GGA-PBE)

Data for BeAg2N after structural relaxation.

## Properties
The formation energy without anion corrections is 1040.7 meV/atom. Its offset from the most stable computed form is 0.0 kJ per mole of atoms.

Lattice parameters (Å, degrees): 4.1507 4.1507 4.1507 60.00 60.00 60.00
With the nearest neighbours (Å) after each atom.
Element x y z (fractional)
Be (0.0000, 0.0000, 0.0000)  8 Ag 2.54
Ag (0.2500, 0.2500, 0.2500)  4 N 2.54, 4 Be 2.54
Ag (0.7500, 0.7500, 0.7500)  4 N 2.54, 4 Be 2.54
N (0.5000, 0.5000, 0.5000)  8 Ag 2.54

---

[10]
## BeAg3N (GGA-PBE)

Data for BeAg3N after structural relaxation.

## Properties
The formation energy without anion corrections is 968.3 meV/atom. Its offset from the most stable computed form is 0.0 kJ per mole of atoms.

Lattice parameters (Å, degrees): 4.3501 4.3501 4.3501 90.00 90.00 90.00
With the nearest neighbours (Å) after each atom.
Element x y z (fractional)
Be (0.0000, 0.0000, 0.0000)  12 Ag 3.08
Ag (0.0000, 0.5000, 0.5000)  2 N 2.18
Ag (0.5000, 0.0000, 0.5000)  2 N 2.18
Ag (0.5000, 0.5000, 0.0000)  2 N 2.18
N (0.5000, 0.5000, 0.5000)  6 Ag 2.18

---

[11]
## BeAgN2O (GGA-PBE)

Data for BeAgN2O after structural relaxation.

## Properties
The formation energy without anion corrections is 2066.5 meV/atom.

Lattice parameters (Å, degrees): 4.0040 4.0040 4.1628 90.00 90.00 90.00
With the nearest neighbours (Å) after each atom.
Element x y z (fractional)
Be (0.0000, 0.0000, 0.0000)  4 O 2.83, 8 N 2.89
Ag (0.5000, 0.5000, 0.5000)  4 N 2.00, 2 O 2.08
N (0.0000, 0.5000, 0.5000)  2 Ag 2.00
N (0.5000, 0.0000, 0.5000)  2 Ag 2.00
O (0.5000, 0.5000, 0.0000)  2 Ag 2.08

---

[12]
## BeAgN2O (GGA-PBE)

Data for BeAgN2O after structural relaxation.

## Properties
The formation energy without anion corrections is 1025.4 meV/atom.

Lattice parameters (Å, degrees): 3.5479 3.5479 3.5610 90.00 90.00 90.00
With the nearest neighbours (Å) after each atom.
Element x y z (fractional)
Be (0.0000, 0.0000, 0.0000)  4 N 1.77, 2 O 1.78
Ag (0.5000, 0.5000, 0.5000)  4 O 2.51, 8 N 2.51
N (0.0000, 0.5000, 0.0000)  2 Be 1.77
N (0.5000, 0.0000, 0.0000)  2 Be 1.77
O (0.0000, 0.0000, 0.5000)  2 Be 1.78

---

Summary of theoretical density in kg/m³
8182; 5503; 8713; 6221; 5324; 11670; 6442; 6996; 7841; 6992; 4003; 5960
(order as listed above)